Entry 1:
Material: ZrCr3
Method: DFT, PBE
State: relaxed

Lattice parameters (Å, degrees): 3.012 3.012 6.488 90.00 90.00 90.00
Fractional coordinates of all 4 atoms:
Cr 0.000 0.000 0.037
Cr 0.000 0.000 0.463
Cr 0.500 0.500 0.250
Zr 0.500 0.500 0.750

Output
Space-group type   P4/mmm, No. 123
ΔE_f   174 meV per atom
M_tot   1.69 μB/f.u.
DFT total energy   -9.180 eV/atom
Density of states at the Fermi level   2.09 states/eV/cell
V   14.72 A^3/atom



Entry 2:
Material: ZrCr3
Method: DFT, PBE
State: relaxed

Lattice parameters (Å, degrees): 2.747 4.950 4.950 63.34 100.66 79.34
Fractional coordinates of all 4 atoms:
Cr 0.000 0.000 0.000
Cr 0.500 0.000 0.500
Cr 0.000 0.500 0.500
Zr 0.500 0.500 0.000

Output
Space-group type   R-3m, No. 166
ΔE_f   357 meV per atom
M_tot   0.00 μB/f.u.
DFT total energy   -8.998 eV/atom
Density of states at the Fermi level   3.96 states/eV/cell
V   14.07 A^3/atom



Entry 3:
Material: ZrCr6
Method: DFT, PBE
State: relaxed

Lattice parameters (Å, degrees): 5.317 5.317 5.317 109.47 109.47 109.47
Fractional coordinates of all 7 atoms:
Zr 0.000 0.000 0.000
Cr 0.250 0.750 0.500
Cr 0.500 0.750 0.250
Cr 0.250 0.500 0.750
Cr 0.750 0.250 0.500
Cr 0.500 0.250 0.750
Cr 0.750 0.500 0.250

Output
Space-group type   Im-3m, No. 229
ΔE_f   1417 meV per atom
M_tot   0.00 μB/f.u.
DFT total energy   -8.053 eV/atom
Density of states at the Fermi level   14.77 states/eV/cell
V   16.53 A^3/atom



Entry 4:
Material: Zr3Cr
Method: DFT, PBE
State: relaxed

Lattice parameters (Å, degrees): 4.841 5.712 6.069 90.00 90.00 90.00
Fractional coordinates of all 8 atoms:
Zr 0.500 0.609 0.000
Zr 0.000 0.851 0.252
Zr 0.500 0.149 0.248
Zr 0.000 0.391 0.500
Zr 0.000 0.851 0.748
Zr 0.500 0.149 0.752
Cr 0.000 0.324 0.000
Cr 0.500 0.676 0.500

Output
Space-group type   Pmmn, No. 59
ΔE_f   223 meV per atom
M_tot   2.25 μB/f.u.
DFT total energy   -8.594 eV/atom
Density of states at the Fermi level   9.75 states/eV/cell
V   20.98 A^3/atom



Entry 5:
Material: Zr3Cr
Method: DFT, PBE
State: relaxed

Lattice parameters (Å, degrees): 3.089 5.658 5.658 116.76 79.51 79.51
Fractional coordinates of all 4 atoms:
Cr 0.000 0.000 0.000
Zr 0.000 0.500 0.500
Zr 0.500 0.500 0.000
Zr 0.500 0.000 0.500

Output
Space-group type   R-3m, No. 166
ΔE_f   289 meV per atom
M_tot   2.20 μB/f.u.
DFT total energy   -8.528 eV/atom
Density of states at the Fermi level   7.20 states/eV/cell
V   20.71 A^3/atom



Entry 6:
Material: ZrCr3
Method: DFT, PBE
State: relaxed

Lattice parameters (Å, degrees): 4.348 4.351 4.348 60.02 90.00 119.98
Fractional coordinates of all 4 atoms:
Cr 0.000 0.000 0.000
Cr 0.500 0.000 0.500
Cr 0.750 0.500 0.750
Zr 0.250 0.500 0.250

Output
Space-group type   Fm-3m, No. 225
ΔE_f   247 meV per atom
M_tot   1.23 μB/f.u.
DFT total energy   -9.107 eV/atom
Density of states at the Fermi level   4.69 states/eV/cell
V   14.56 A^3/atom



Entry 7:
Material: Zr2Cr
Method: DFT, PBE
State: relaxed

Lattice parameters (Å, degrees): 5.976 4.667 8.503 90.00 90.00 90.00
Fractional coordinates of all 12 atoms:
Cr 0.173 0.250 0.933
Cr 0.327 0.750 0.433
Cr 0.673 0.250 0.567
Cr 0.827 0.750 0.067
Zr 0.013 0.250 0.224
Zr 0.180 0.250 0.587
Zr 0.320 0.750 0.087
Zr 0.487 0.750 0.724
Zr 0.513 0.250 0.276
Zr 0.680 0.250 0.913
Zr 0.820 0.750 0.413
Zr 0.987 0.750 0.776

Output
Space-group type   Pnma, No. 62
ΔE_f   203 meV per atom
M_tot   1.62 μB/f.u.
DFT total energy   -8.704 eV/atom
Density of states at the Fermi level   13.91 states/eV/cell
V   19.76 A^3/atom



Entry 8:
Material: Zr3Cr
Method: DFT, PBE
State: relaxed

Lattice parameters (Å, degrees): 3.298 3.298 7.422 90.00 90.00 90.04
Fractional coordinates of all 4 atoms:
Cr 0.000 0.000 0.000
Zr 0.000 0.000 0.500
Zr 0.500 0.500 0.214
Zr 0.500 0.500 0.786

Output
Space-group type   P4/mmm, No. 123
ΔE_f   123 meV per atom
M_tot   1.41 μB/f.u.
DFT total energy   -8.694 eV/atom
Density of states at the Fermi level   5.23 states/eV/cell
V   20.19 A^3/atom